[1]
CsAl3P6O20 after structural relaxation, computed with PBEsol. Values from VASP.

Computed properties:
Crystal system: orthorhombic
Density of states at the Fermi level: 0.000 states/eV/cell
Formation energy without anion corrections: -240.2 kJ per mole of atoms
Mass density: 2.90 g/cm3

```
&SYSTEM
  ibrav = 0, nat = 60, ntyp = 4
/
ATOMIC_SPECIES
O 16.00 O.upf
P 30.97 P.upf
Al 26.98 Al.upf
Cs 132.91 Cs.upf
ATOMIC_POSITIONS crystal
O 0.7826 0.8143 0.8043
O 0.8027 0.7344 0.6051
P 0.4039 0.1373 0.3048
P 0.2251 0.3795 0.2193
P 0.8795 0.7251 0.7193
O 0.3634 0.0676 0.4270
O 0.2631 0.7948 0.8738
O 0.3027 0.2344 0.8949
O 0.5864 0.2171 0.2987
O 0.2171 0.5864 0.7013
O 0.3827 0.5726 0.9484
Al 0.8210 0.2774 0.2792
O 0.7948 0.2631 0.1262
O 0.2344 0.3027 0.1051
P 0.8785 0.2539 0.5425
O 0.0864 0.7171 0.2013
O 0.3037 0.8466 0.5708
Al 0.7774 0.3210 0.7792
P 0.6373 0.9039 0.8048
P 0.7539 0.3785 0.0425
O 0.2948 0.7631 0.3738
P 0.9039 0.6373 0.1952
O 0.8488 0.5516 0.7597
O 0.8037 0.3466 0.9292
O 0.3466 0.8037 0.0708
O 0.5058 0.8186 0.7245
O 0.8634 0.5676 0.0730
O 0.0516 0.3488 0.2597
O 0.0726 0.8827 0.4484
O 0.5516 0.8488 0.2403
Cs 0.5006 0.5006 0.5000
P 0.1373 0.4039 0.6952
P 0.3785 0.7539 0.9575
O 0.7171 0.0864 0.7987
O 0.3143 0.2826 0.3043
O 0.8827 0.0726 0.5516
O 0.8186 0.5058 0.2755
Al 0.2774 0.8210 0.7208
Al 0.3796 0.3796 0.0000
O 0.2826 0.3143 0.6957
O 0.7344 0.8027 0.3949
O 0.5573 0.3314 0.7796
Al 0.8796 0.8796 0.5000
O 0.0058 0.3186 0.7755
Cs 0.0006 0.0006 0.0000
O 0.8314 0.0573 0.2796
O 0.7631 0.2948 0.6262
O 0.3488 0.0516 0.7403
P 0.7251 0.8795 0.2807
O 0.3314 0.5573 0.2204
O 0.5726 0.3827 0.0516
O 0.8466 0.3037 0.4292
O 0.3186 0.0058 0.2245
P 0.2539 0.8785 0.4575
Al 0.3210 0.7774 0.2208
P 0.3795 0.2251 0.7807
O 0.8143 0.7826 0.1957
O 0.0573 0.8314 0.7204
O 0.5676 0.8634 0.9270
O 0.0676 0.3634 0.5730
CELL_PARAMETERS angstrom
8.3691 0.0072 0.0000
-2.3113 8.0436 0.0000
0.0000 0.0000 12.2472
```



[2]
Cs2AlP after structural relaxation, computed with PBEsol. Values from VASP.

Computed properties:
Crystal system: tetragonal
Density of states at the Fermi level: 7.095 states/eV/cell
ΔH_f (0 K): 35 meV/atom
Mass density: 2.55 g/cm3

```
&SYSTEM
  ibrav = 0, nat = 8, ntyp = 3
/
ATOMIC_SPECIES
Al 26.98 Al.upf
Cs 132.91 Cs.upf
P 30.97 P.upf
ATOMIC_POSITIONS crystal
Al 0.5000 0.0000 0.0000
Cs 0.8143 0.8107 0.3107
P 0.0000 0.0000 0.0000
Al 0.2500 0.5000 0.5000
Cs 0.8750 0.3107 0.1893
Cs 0.9357 0.1893 0.6893
P 0.7500 0.5000 0.5000
Cs 0.3750 0.6893 0.8107
CELL_PARAMETERS angstrom
4.6829 0.0000 0.0000
2.3414 9.4881 0.0000
2.3414 0.0000 9.4881
```